<a>
A plane-wave DFT calculation with PBE was carried out for a relaxed structure of PmPr3Ge2.

## Properties
symmetry = R-3c

Cell lengths 8.290, 8.290, 8.290 Å; angles 57.00, 57.00, 57.00 degrees
Fractional positions:
Pm (0.500, 0.500, 0.500)
Pm (0.000, 0.000, 0.000)
Pr (0.473, 0.027, 0.750)
Pr (0.027, 0.750, 0.473)
Pr (0.750, 0.473, 0.027)
Pr (0.527, 0.973, 0.250)
Pr (0.973, 0.250, 0.527)
Pr (0.250, 0.527, 0.973)
Ge (0.355, 0.355, 0.355)
Ge (0.145, 0.145, 0.145)
Ge (0.855, 0.855, 0.855)
Ge (0.645, 0.645, 0.645)

=====

<b>
A plane-wave DFT calculation with PBE was carried out for a relaxed structure of PmPr3Ge2.

## Properties
symmetry = Immm

Cell lengths 4.547, 4.591, 8.973 Å; angles 104.79, 104.68, 90.00 degrees
Fractional positions:
Pm (0.000, 0.000, 0.000)
Pr (0.500, 0.500, 0.000)
Pr (0.818, 0.318, 0.636)
Pr (0.182, 0.682, 0.364)
Ge (0.366, 0.866, 0.731)
Ge (0.634, 0.134, 0.269)

=====

So which one is most stable? That would be <b>, about 0.263 eV/atom below the next structure.